1.
Below is a relaxed Nd8In2Pt crystal, with properties calculated at the PBE level.

ΔH_f (0 K), eV per formula unit: -3.9
Space group: No. 8
Excess energy over the best structure of this formula in the dataset, eV/atom: 0.013
Total magnetization, μB/f.u.: 0.00

Lattice parameters (Å, degrees): 5.6996 9.6266 9.6266 121.93 108.23 108.23
Closest atoms and distances in Å follow each position.
Fractional coordinates of all 11 atoms:
Nd: 0.7511 0.4220 0.1819  1 Pt 2.97
Nd: 0.7511 0.1819 0.4220  1 Pt 2.97
Nd: 0.9742 0.1232 0.1232  2 Pt 2.83-3.09
Nd: 0.0025 0.2216 0.8247  4 In 3.33-3.60, 6 Nd 3.41-3.67
Nd: 0.0025 0.8247 0.2216  4 In 3.33-3.60, 6 Nd 3.41-3.67
Nd: 0.6381 0.6358 0.6358  1 Pt 3.17, 2 In 3.38
Nd: 0.2749 0.9086 0.6532  1 Pt 2.91
Nd: 0.2749 0.6532 0.9086  1 Pt 2.91
In: 0.4987 0.7210 0.3307  11 Nd 3.33-3.69
In: 0.4987 0.3307 0.7210  11 Nd 3.33-3.69
Pt: 0.3329 0.0112 0.0112  7 Nd 2.83-3.17

=====

2.
Below is a relaxed CdHN2O crystal, with properties calculated at the PBE level.

Space group: No. 123
Calculated total energy, eV/cell: -14.43
Total magnetization, μB/f.u.: 6.86

Lattice parameters (Å, degrees): 4.7854 4.7854 4.2059 90.00 90.00 90.00
Closest atoms and distances in Å follow each position.
Fractional coordinates of all 5 atoms:
H: 0.5000 0.5000 0.5000  8 N 3.19, 4 O 3.38
N: 0.0000 0.5000 0.0000  2 Cd 2.39
N: 0.5000 0.0000 0.0000  2 Cd 2.39
O: 0.0000 0.0000 0.5000  2 Cd 2.10
Cd: 0.0000 0.0000 0.0000  2 O 2.10

=====

3.
Below is a relaxed CsNaZrS3 crystal, with properties calculated at the PBE level.

Space group: No. 63
Calculated total energy, eV/cell: -63.71
Total magnetization, μB/f.u.: 0.00

Lattice parameters (Å, degrees): 7.0546 7.3850 7.8004 118.25 90.00 90.00
Closest atoms and distances in Å follow each position.
Fractional coordinates of all 12 atoms:
Cs: 0.7500 0.2626 0.5251  4 S 3.56-3.70
Cs: 0.2500 0.7375 0.4749  4 S 3.56-3.70
Na: 0.2500 0.4272 0.8544  5 S 2.78-2.84
Na: 0.7500 0.5728 0.1456  5 S 2.78-2.84
Zr: 0.2500 0.0533 0.1065  5 S 2.36-2.56
Zr: 0.7500 0.9467 0.8935  5 S 2.36-2.56
S: 0.2500 0.2249 0.4499  1 Zr 2.36
S: 0.0000 0.2309 0.0000  2 Zr 2.56, 2 Na 2.84
S: 0.5000 0.7691 0.0000  2 Zr 2.56, 2 Na 2.84
S: 0.5000 0.2309 0.0000  2 Zr 2.56, 2 Na 2.84
S: 0.0000 0.7691 0.0000  2 Zr 2.56, 2 Na 2.84
S: 0.7500 0.7751 0.5501  1 Zr 2.36

=====

4.
Below is a relaxed RhAuICl crystal, with properties calculated at the PBE level.

Space group: No. 6
Excess energy over the best structure of this formula in the dataset, eV/atom: 0.267
Total magnetization, μB/f.u.: 0.00

Lattice parameters (Å, degrees): 3.8064 4.7118 6.1253 106.90 89.97 90.05
Closest atoms and distances in Å follow each position.
Fractional coordinates of all 4 atoms:
I: 0.0840 0.5155 0.1426  2 Rh 2.62
Rh: 0.5836 0.3843 0.3917  1 Cl 2.30
Au: 0.0832 0.1478 0.5813  2 Rh 2.64, 2 Cl 2.68
Cl: 0.5832 0.8137 0.6914  1 Rh 2.30